Entry 1:
Cd3PPd | PBE | relaxed

Structure (POSCAR):
```
Cd3PPd
1.0
5.094 0.000 0.000
0.000 5.094 0.000
0.000 0.000 5.094
Pd Cd P
1 3 1
direct
0.000 0.000 0.000 Pd
0.500 0.000 0.000 Cd
0.000 0.500 0.000 Cd
0.000 0.000 0.500 Cd
0.500 0.500 0.500 P
```

Results
- energy relative to the lowest polymorph listed for this composition (meV per atom) = 0
- space-group type = Pm-3m (221)
- formation energy (kJ/mol of atoms) = 46.9

Entry 2:
Cd3P6Pd20 | PBE | relaxed

Structure (POSCAR):
```
Cd3P6Pd20
1.0
7.448 0.000 4.300
2.483 7.022 4.300
0.000 0.000 8.600
Pd P Cd
20 6 3
direct
0.343 0.000 0.657 Pd
0.657 0.000 0.000 Pd
0.000 0.343 0.657 Pd
0.000 0.000 0.343 Pd
0.616 0.616 0.151 Pd
0.343 0.657 0.000 Pd
0.616 0.151 0.616 Pd
0.384 0.849 0.384 Pd
0.384 0.384 0.384 Pd
0.616 0.616 0.616 Pd
0.000 0.657 0.343 Pd
0.000 0.343 0.000 Pd
0.000 0.000 0.657 Pd
0.343 0.000 0.000 Pd
0.657 0.343 0.000 Pd
0.657 0.000 0.343 Pd
0.151 0.616 0.616 Pd
0.384 0.384 0.849 Pd
0.000 0.657 0.000 Pd
0.849 0.384 0.384 Pd
0.733 0.267 0.733 P
0.733 0.733 0.267 P
0.267 0.267 0.733 P
0.267 0.733 0.733 P
0.733 0.267 0.267 P
0.267 0.733 0.267 P
0.000 0.000 0.000 Cd
0.750 0.750 0.750 Cd
0.250 0.250 0.250 Cd
```

Results
- space-group type = Fm-3m (225)
- formation energy (kJ/mol of atoms) = -46.9

Entry 3:
Cd2P2Pd | PBE | relaxed

Structure (POSCAR):
```
Cd2P2Pd
1.0
5.870 0.000 0.000
0.000 5.870 0.000
0.000 0.000 6.138
Cd P Pd
4 4 2
direct
0.183 0.683 0.500 Cd
0.817 0.317 0.500 Cd
0.317 0.183 0.500 Cd
0.683 0.817 0.500 Cd
0.627 0.127 0.000 P
0.873 0.627 0.000 P
0.373 0.873 0.000 P
0.127 0.373 0.000 P
0.000 0.000 0.000 Pd
0.500 0.500 0.000 Pd
```

Results
- space-group type = P4/mbm (127)
- formation energy (kJ/mol of atoms) = -6.3

Entry 4:
CdPPd3 | PBE | relaxed

Structure (POSCAR):
```
CdPPd3
1.0
-2.622 2.559 -2.619
-3.660 -1.736 1.968
0.109 3.275 3.090
Cd Pd P
1 3 1
direct
0.500 0.500 0.500 Cd
0.000 0.500 0.000 Pd
0.000 0.000 0.500 Pd
0.500 0.000 0.000 Pd
0.000 0.000 0.000 P
```

Results
- energy relative to the lowest polymorph listed for this composition (meV per atom) = 18
- space-group type = Pm-3m (221)
- formation energy (kJ/mol of atoms) = -28.0

Entry 5:
CdP2Pd2 | PBE | relaxed

Structure (POSCAR):
```
CdP2Pd2
1.0
-2.484 -5.022 -5.113
-3.567 -3.826 5.492
-2.342 1.584 -0.418
Pd P Cd
4 4 2
direct
0.169 0.669 0.500 Pd
0.831 0.331 0.500 Pd
0.331 0.169 0.500 Pd
0.669 0.831 0.500 Pd
0.132 0.368 0.000 P
0.368 0.868 0.000 P
0.632 0.132 0.000 P
0.868 0.632 0.000 P
0.000 0.000 0.000 Cd
0.500 0.500 0.000 Cd
```

Results
- energy relative to the lowest polymorph listed for this composition (meV per atom) = 231
- space-group type = P4/mbm (127)
- formation energy (kJ/mol of atoms) = 0.3

Entry 6:
CdPPd3 | PBE | relaxed

Structure (POSCAR):
```
CdPPd3
1.0
4.790 0.000 0.000
0.000 6.358 0.000
0.000 -3.179 5.506
Pd P Cd
6 2 2
direct
0.750 0.185 0.815 Pd
0.250 0.815 0.185 Pd
0.250 0.815 0.629 Pd
0.750 0.629 0.815 Pd
0.250 0.371 0.185 Pd
0.750 0.185 0.371 Pd
0.000 0.000 0.000 P
0.500 0.000 0.000 P
0.250 0.333 0.667 Cd
0.750 0.667 0.333 Cd
```

Results
- energy relative to the lowest polymorph listed for this composition (meV per atom) = 0
- space-group type = P6_3/mmc (194)
- formation energy (kJ/mol of atoms) = -29.8

Entry 7:
CdP2Pd7 | PBE | relaxed

Structure (POSCAR):
```
CdP2Pd7
1.0
-2.733 1.692 -2.372
-0.773 -3.557 -1.646
-5.226 -0.723 8.866
P Pd Cd
2 7 1
direct
0.328 0.328 0.656 P
0.672 0.672 0.344 P
0.250 0.750 0.500 Pd
0.393 0.893 0.786 Pd
0.607 0.107 0.214 Pd
0.750 0.250 0.500 Pd
0.500 0.500 0.000 Pd
0.107 0.607 0.214 Pd
0.893 0.393 0.786 Pd
0.000 0.000 0.000 Cd
```

Results
- space-group type = I4/mmm (139)
- formation energy (kJ/mol of atoms) = -43.5

Entry 8:
CdPPd5 | PBE | relaxed

Structure (POSCAR):
```
CdPPd5
1.0
-2.060 0.933 -3.267
-3.115 -2.043 1.381
-2.406 5.815 3.177
Pd P Cd
5 1 1
direct
0.000 0.000 0.000 Pd
0.500 0.000 0.699 Pd
0.000 0.500 0.301 Pd
0.500 0.000 0.301 Pd
0.000 0.500 0.699 Pd
0.000 0.000 0.500 P
0.500 0.500 0.000 Cd
```

Results
- space-group type = P4/mmm (123)
- formation energy (kJ/mol of atoms) = -42.8

Entry 9:
Cd3PPd | PBE | relaxed

Structure (POSCAR):
```
Cd3PPd
1.0
5.001 0.000 0.000
0.000 5.001 0.000
0.000 0.000 5.001
Cd P Pd
3 1 1
direct
0.000 0.500 0.000 Cd
0.500 0.000 0.000 Cd
0.000 0.000 0.500 Cd
0.000 0.000 0.000 P
0.500 0.500 0.500 Pd
```

Results
- energy relative to the lowest polymorph listed for this composition (meV per atom) = 22
- space-group type = Pm-3m (221)
- formation energy (kJ/mol of atoms) = 49.0

Entry 10:
CdPPd4 | PBE | relaxed

Structure (POSCAR):
```
CdPPd4
1.0
3.940 0.000 0.000
0.000 3.940 0.000
0.000 0.000 6.885
Pd Cd P
4 1 1
direct
0.000 0.500 0.704 Pd
0.000 0.500 0.296 Pd
0.500 0.000 0.704 Pd
0.500 0.000 0.296 Pd
0.000 0.000 0.000 Cd
0.500 0.500 0.500 P
```

Results
- energy relative to the lowest polymorph listed for this composition (meV per atom) = 0
- space-group type = P4/mmm (123)
- formation energy (kJ/mol of atoms) = -31.8

Entry 11:
CdP2Pd | PBE | relaxed

Structure (POSCAR):
```
CdP2Pd
1.0
-5.247 0.703 -2.083
-1.269 -5.370 1.383
-5.021 -0.625 4.669
Pd P Cd
2 4 2
direct
0.250 0.750 0.500 Pd
0.500 0.500 0.000 Pd
0.375 0.421 0.750 P
0.579 0.125 0.250 P
0.171 0.625 0.250 P
0.875 0.829 0.750 P
0.000 0.000 0.000 Cd
0.750 0.250 0.500 Cd
```

Results
- space-group type = I-42d (122)
- formation energy (kJ/mol of atoms) = 10.1

Entry 12:
CdP2Pd2 | PBE | relaxed

Structure (POSCAR):
```
CdP2Pd2
1.0
3.546 0.000 0.000
0.000 3.546 0.000
1.773 1.773 6.612
Pd P Cd
2 2 1
direct
0.609 0.609 0.783 Pd
0.391 0.391 0.217 Pd
0.750 0.250 0.500 P
0.250 0.750 0.500 P
0.000 0.000 0.000 Cd
```

Results
- energy relative to the lowest polymorph listed for this composition (meV per atom) = 125
- space-group type = I4/mmm (139)
- formation energy (kJ/mol of atoms) = -9.9

| no. | total DFT energy (no corrections) (eV for the cell shown) |
| --- | --- |
| 1 | -10.92 |
| 2 | -153.15 |
| 3 | -36.34 |
| 4 | -23.35 |
| 5 | -44.21 |
| 6 | -46.89 |
| 7 | -52.60 |
| 8 | -35.40 |
| 9 | -10.81 |
| 10 | -29.07 |
| 11 | -33.02 |
| 12 | -22.63 |